No. 1
## KSr2W (PBEsol)

Data for a relaxed structure of KSr2W.

abc: 12.9020 12.9020 12.9020
angles: 15.56 15.56 15.56
Last column: nearest neighbours and their distance in Å.
Positions (direct):
K 0.0000 0.0000 0.0000  6 K 3.49
Sr 0.2309 0.2309 0.2309  3 W 3.18, 6 Sr 3.49
Sr 0.7691 0.7691 0.7691  3 W 3.18, 6 Sr 3.49
W 0.5000 0.5000 0.5000  6 Sr 3.18, 6 W 3.49

Summary:
For the energy relative to the lowest polymorph listed for this composition, the calculation gives 0.47 eV per formula unit. The density of states at the Fermi level is 0.8324 states/eV/atom. The calculation puts the formation energy at 26.260 kcal/mol of atoms.



No. 2
## Cd5Pt (PBEsol)

Data for a relaxed structure of Cd5Pt.

abc: 6.6432 6.6432 4.2193
angles: 90.00 90.00 142.92
Last column: nearest neighbours and their distance in Å.
Positions (direct):
Cd 0.0000 0.0000 0.0000  8 Cd 2.92-2.94, 4 Pt 2.99
Cd 0.1604 0.8396 0.5000  10 Cd 2.92-3.09, 2 Pt 2.92
Cd 0.3376 0.6624 0.0000  2 Pt 2.94, 10 Cd 2.94-3.07
Cd 0.6624 0.3376 0.0000  2 Pt 2.94, 10 Cd 2.94-3.07
Cd 0.8396 0.1604 0.5000  10 Cd 2.92-3.09, 2 Pt 2.92
Pt 0.5000 0.5000 0.5000  12 Cd 2.92-2.99

Summary:
The density of states at the Fermi level is 0.2828 states/eV/atom. The calculation puts the formation energy at -2.680 kcal/mol of atoms.



No. 3
## ScCdMo2 (PBEsol)

Data for a relaxed structure of ScCdMo2.

abc: 3.4399 4.3264 4.5996
angles: 90.00 90.00 90.00
Last column: nearest neighbours and their distance in Å.
Positions (direct):
Sc 0.0000 0.0000 0.0000  4 Cd 2.76, 4 Mo 2.87
Cd 0.5000 0.5000 0.0000  4 Sc 2.76, 4 Mo 2.87
Mo 0.0000 0.5000 0.5000  4 Mo 2.76, 4 Cd 2.87
Mo 0.5000 0.0000 0.5000  4 Mo 2.76, 4 Sc 2.87

Summary:
The density of states at the Fermi level is 0.7117 states/eV/atom. The calculation puts the formation energy at 4.764 kcal/mol of atoms.



No. 4
## CaMgTa2 (PBEsol)

Data for a relaxed structure of CaMgTa2.

abc: 4.0657 4.0657 4.9998
angles: 90.00 90.00 90.00
Last column: nearest neighbours and their distance in Å.
Positions (direct):
Ca 0.0000 0.0000 0.0000  4 Mg 2.87
Mg 0.5000 0.5000 0.0000  4 Ca 2.87
Ta 0.0000 0.5000 0.5000  4 Ta 2.87
Ta 0.5000 0.0000 0.5000  4 Ta 2.87

Summary:
The density of states at the Fermi level is 1.7070 states/eV/atom. The calculation puts the formation energy at 16.220 kcal/mol of atoms.



No. 5
## CaTlCr2 (PBEsol)

Data for a relaxed structure of CaTlCr2.

abc: 4.4084 4.4084 4.1082
angles: 90.00 90.00 90.00
Last column: nearest neighbours and their distance in Å.
Positions (direct):
Ca 0.0000 0.0000 0.0000  8 Cr 3.01, 4 Tl 3.12
Tl 0.5000 0.5000 0.0000  8 Cr 3.01, 4 Ca 3.12
Cr 0.0000 0.5000 0.5000  4 Tl 3.01, 4 Ca 3.01, 4 Cr 3.12
Cr 0.5000 0.0000 0.5000  4 Tl 3.01, 4 Ca 3.01, 4 Cr 3.12

Summary:
For the energy relative to the lowest polymorph listed for this composition, the calculation gives 1.44 eV per formula unit. The density of states at the Fermi level is 0.5318 states/eV/atom. The calculation puts the formation energy at 15.800 kcal/mol of atoms.



No. 6
## B5H8 (PBEsol)

Data for a relaxed structure of B5H8.

abc: 10.6572 5.6982 14.6788
angles: 90.00 90.00 90.00
Last column: nearest neighbours and their distance in Å.
Positions (direct):
B 0.0162 0.0947 0.0000  2 H 1.20-1.34
B 0.0309 0.3354 0.0759  1 H 1.20
B 0.1360 0.2144 0.9275  2 H 1.37
B 0.1488 0.4583 0.0043  2 H 1.20-1.34
B 0.1531 0.4547 0.3280  1 H 1.20
B 0.1570 0.1784 0.0416  1 H 1.20
B 0.1658 0.7330 0.2741  1 H 1.20
B 0.1921 0.1430 0.7216  1 H 1.20
B 0.2046 0.8659 0.7761  1 H 1.20
B 0.2145 0.1194 0.8360  5 B 1.67-1.70
B 0.2855 0.6194 0.3360  5 B 1.67-1.70
B 0.2954 0.3659 0.2761  1 H 1.20
B 0.3079 0.6430 0.2216  1 H 1.20
B 0.3342 0.2330 0.7741  1 H 1.20
B 0.3430 0.6784 0.5416  1 H 1.20
B 0.3469 0.9547 0.8280  1 H 1.20
B 0.3512 0.9583 0.5043  2 H 1.20-1.34
B 0.3640 0.7144 0.4275  2 H 1.37
B 0.4691 0.8354 0.5759  1 H 1.20
B 0.4838 0.5947 0.5000  2 H 1.20-1.34
B 0.5162 0.4053 0.0000  2 H 1.20-1.34
B 0.5309 0.1646 0.0759  1 H 1.20
B 0.6360 0.2856 0.9275  2 H 1.37
B 0.6488 0.0417 0.0043  2 H 1.20-1.34
B 0.6531 0.0453 0.3280  1 H 1.20
B 0.6570 0.3216 0.0416  1 H 1.20
B 0.6658 0.7670 0.2741  1 H 1.20
B 0.6921 0.3570 0.7216  1 H 1.20
B 0.7046 0.6341 0.7761  1 H 1.20
B 0.7145 0.3806 0.8360  5 B 1.67-1.70
B 0.7855 0.8806 0.3360  5 B 1.67-1.70
B 0.7954 0.1341 0.2761  1 H 1.20
B 0.8079 0.8570 0.2216  1 H 1.20
B 0.8342 0.2670 0.7741  1 H 1.20
B 0.8430 0.8216 0.5416  1 H 1.20
B 0.8469 0.5453 0.8280  1 H 1.20
B 0.8512 0.5417 0.5043  2 H 1.20-1.34
B 0.8640 0.7856 0.4275  2 H 1.37
B 0.9691 0.6646 0.5759  1 H 1.20
B 0.9838 0.9053 0.5000  2 H 1.20-1.34
H 0.0088 0.6221 0.6504  1 B 1.20
H 0.0108 0.1715 0.9141  2 B 1.34-1.37
H 0.0335 0.5383 0.0290  2 B 1.35-1.36
H 0.0384 0.0886 0.5031  1 B 1.20
H 0.0673 0.7378 0.5254  2 B 1.35-1.36
H 0.0786 0.5608 0.2661  2 B 1.35-1.36
H 0.0871 0.3734 0.3860  1 B 1.20
H 0.1092 0.9137 0.2801  1 B 1.20
H 0.1117 0.4486 0.9173  2 B 1.34-1.37
H 0.1129 0.2397 0.6777  1 B 1.20
H 0.1372 0.6992 0.7839  1 B 1.20
H 0.1769 0.2828 0.2672  2 B 1.35-1.36
H 0.1960 0.7049 0.1853  2 B 1.35
H 0.2060 0.9248 0.6867  2 B 1.35
H 0.2192 0.6211 0.0111  1 B 1.20
H 0.2350 0.0739 0.0840  1 B 1.20
H 0.2650 0.5739 0.5840  1 B 1.20
H 0.2808 0.1211 0.5111  1 B 1.20
H 0.2940 0.4248 0.1867  2 B 1.35
H 0.3040 0.2049 0.6853  2 B 1.35
H 0.3231 0.7828 0.7672  2 B 1.35-1.36
H 0.3628 0.1992 0.2839  1 B 1.20
H 0.3871 0.7397 0.1777  1 B 1.20
H 0.3883 0.9486 0.4173  2 B 1.34-1.37
H 0.3908 0.4137 0.7801  1 B 1.20
H 0.4129 0.8734 0.8860  1 B 1.20
H 0.4214 0.0608 0.7661  2 B 1.35-1.36
H 0.4327 0.2378 0.0254  2 B 1.35-1.36
H 0.4616 0.5886 0.0031  1 B 1.20
H 0.4665 0.0383 0.5290  2 B 1.35-1.36
H 0.4892 0.6715 0.4141  2 B 1.34-1.37
H 0.4912 0.1221 0.1504  1 B 1.20
H 0.5088 0.8779 0.6504  1 B 1.20
H 0.5108 0.3285 0.9141  2 B 1.34-1.37
H 0.5335 0.9617 0.0290  2 B 1.35-1.36
H 0.5384 0.4114 0.5031  1 B 1.20
H 0.5673 0.7622 0.5254  2 B 1.35-1.36
H 0.5786 0.9392 0.2661  2 B 1.35-1.36
H 0.5871 0.1266 0.3860  1 B 1.20
H 0.6092 0.5863 0.2801  1 B 1.20
H 0.6117 0.0514 0.9173  2 B 1.34-1.37
H 0.6129 0.2603 0.6777  1 B 1.20
H 0.6372 0.8008 0.7839  1 B 1.20
H 0.6769 0.2172 0.2672  2 B 1.35-1.36
H 0.6960 0.7951 0.1853  2 B 1.35
H 0.7060 0.5752 0.6867  2 B 1.35
H 0.7192 0.8789 0.0111  1 B 1.20
H 0.7350 0.4261 0.0840  1 B 1.20
H 0.7650 0.9261 0.5840  1 B 1.20
H 0.7808 0.3789 0.5111  1 B 1.20
H 0.7940 0.0752 0.1867  2 B 1.35
H 0.8040 0.2951 0.6853  2 B 1.35
H 0.8231 0.7172 0.7672  2 B 1.35-1.36
H 0.8628 0.3008 0.2839  1 B 1.20
H 0.8871 0.7603 0.1777  1 B 1.20
H 0.8883 0.5514 0.4173  2 B 1.34-1.37
H 0.8908 0.0863 0.7801  1 B 1.20
H 0.9129 0.6266 0.8860  1 B 1.20
H 0.9214 0.4392 0.7661  2 B 1.35-1.36
H 0.9327 0.2622 0.0254  2 B 1.35-1.36
H 0.9616 0.9114 0.0031  1 B 1.20
H 0.9665 0.4617 0.5290  2 B 1.35-1.36
H 0.9892 0.8285 0.4141  2 B 1.34-1.37
H 0.9912 0.3779 0.1504  1 B 1.20

Summary:
The density of states at the Fermi level is 0.0000 states/eV/atom. The value obtained for the total energy is -61.74 eV per formula unit.



No. 7
## CaHg3Mo (PBEsol)

Data for a relaxed structure of CaHg3Mo.

abc: 5.1765 5.1765 5.1765
angles: 90.00 90.00 90.00
Last column: nearest neighbours and their distance in Å.
Positions (direct):
Ca 0.0000 0.0000 0.0000  12 Hg 3.66
Hg 0.0000 0.5000 0.5000  2 Mo 2.59
Hg 0.5000 0.0000 0.5000  2 Mo 2.59
Hg 0.5000 0.5000 0.0000  2 Mo 2.59
Mo 0.5000 0.5000 0.5000  6 Hg 2.59

Summary:
The density of states at the Fermi level is 1.0951 states/eV/atom. The calculation puts the formation energy at 9.915 kcal/mol of atoms.



No. 8
## NiTeRu (PBEsol)

Data for a relaxed structure of NiTeRu.

abc: 4.1754 4.1754 4.1754
angles: 60.00 60.00 60.00
Last column: nearest neighbours and their distance in Å.
Positions (direct):
Ni 0.0000 0.0000 0.0000  4 Ru 2.56
Te 0.5000 0.5000 0.5000  4 Ru 2.56
Ru 0.2500 0.2500 0.2500  4 Te 2.56, 4 Ni 2.56

Summary:
For the energy relative to the lowest polymorph listed for this composition, the calculation gives 0.00 eV per formula unit. The density of states at the Fermi level is 0.6867 states/eV/atom. The calculation puts the raw formation energy at 0.5 eV/f.u.



No. 9
## ZnCoIr2 (PBEsol)

Data for a relaxed structure of ZnCoIr2.

abc: 4.4837 4.4837 4.6332
angles: 99.84 99.84 34.72
Last column: nearest neighbours and their distance in Å.
Positions (direct):
Zn 0.0000 0.0000 0.0000  6 Ir 2.58-2.66, 4 Co 2.68, 2 Zn 2.68
Co 0.5000 0.5000 0.5000  6 Ir 2.56-2.64, 4 Zn 2.68, 2 Co 2.68
Ir 0.2440 0.2440 0.7430  3 Co 2.56-2.64, 3 Zn 2.58-2.66, 6 Ir 2.64-2.72
Ir 0.7560 0.7560 0.2570  3 Co 2.56-2.64, 3 Zn 2.58-2.66, 6 Ir 2.64-2.72

Summary:
The density of states at the Fermi level is 1.3671 states/eV/atom. The calculation puts the formation energy at -0.350 kcal/mol of atoms.



No. 10
## ZnFeIr (PBEsol)

Data for a relaxed structure of ZnFeIr.

abc: 4.5426 4.5426 4.5426
angles: 145.28 132.86 59.86
Last column: nearest neighbours and their distance in Å.
Positions (direct):
Zn 0.0000 0.0000 0.0000  5 Ir 2.60-2.63, 5 Fe 2.61-2.63, 2 Zn 2.71
Fe 0.6688 0.6688 0.0000  5 Ir 2.60-2.67, 5 Zn 2.61-2.63, 2 Fe 2.71
Ir 0.3300 0.3300 0.0000  5 Fe 2.60-2.67, 5 Zn 2.60-2.63, 2 Ir 2.71

Summary:
For the energy relative to the lowest polymorph listed for this composition, the calculation gives 0.05 eV per formula unit. The density of states at the Fermi level is 0.9467 states/eV/atom. The calculation puts the formation energy at -0.852 kcal/mol of atoms.



No. 11
## KSr3 (PBEsol)

Data for a relaxed structure of KSr3.

abc: 8.2132 8.2132 8.2132
angles: 150.19 63.10 125.78
Last column: nearest neighbours and their distance in Å.
Positions (direct):
K 0.0000 0.0000 0.0000  2 K 4.23, 10 Sr 4.25-4.31
Sr 0.0796 0.3277 0.7519  9 Sr 4.23-4.30, 3 K 4.25-4.31
Sr 0.5008 0.0008 0.5000  8 Sr 4.23-4.29, 4 K 4.29-4.30
Sr 0.5758 0.3277 0.2481  9 Sr 4.23-4.30, 3 K 4.25-4.31

Summary:
For the energy relative to the lowest polymorph listed for this composition, the calculation gives 0.14 eV per formula unit. The density of states at the Fermi level is 0.9436 states/eV/atom. The calculation puts the formation energy at 1.959 kcal/mol of atoms.



No. 12
## GaTc2Pb (PBEsol)

Data for a relaxed structure of GaTc2Pb.

abc: 4.4892 4.4892 4.4892
angles: 60.00 60.00 60.00
Last column: nearest neighbours and their distance in Å.
Positions (direct):
Ga 0.0000 0.0000 0.0000  8 Tc 2.75
Tc 0.2500 0.2500 0.2500  4 Pb 2.75, 4 Ga 2.75
Tc 0.7500 0.7500 0.7500  4 Pb 2.75, 4 Ga 2.75
Pb 0.5000 0.5000 0.5000  8 Tc 2.75

Summary:
The density of states at the Fermi level is 1.3520 states/eV/atom. The calculation puts the formation energy at 10.559 kcal/mol of atoms.



Please write out number 2 again, unchanged.
## Cd5Pt (PBEsol)

Data for a relaxed structure of Cd5Pt.

abc: 6.6432 6.6432 4.2193
angles: 90.00 90.00 142.92
Last column: nearest neighbours and their distance in Å.
Positions (direct):
Cd 0.0000 0.0000 0.0000  8 Cd 2.92-2.94, 4 Pt 2.99
Cd 0.1604 0.8396 0.5000  10 Cd 2.92-3.09, 2 Pt 2.92
Cd 0.3376 0.6624 0.0000  2 Pt 2.94, 10 Cd 2.94-3.07
Cd 0.6624 0.3376 0.0000  2 Pt 2.94, 10 Cd 2.94-3.07
Cd 0.8396 0.1604 0.5000  10 Cd 2.92-3.09, 2 Pt 2.92
Pt 0.5000 0.5000 0.5000  12 Cd 2.92-2.99

Summary:
The density of states at the Fermi level is 0.2828 states/eV/atom. The calculation puts the formation energy at -2.680 kcal/mol of atoms.